[1]
Density functional theory data (PBE) for a geometry-optimized MnTl2V2Se6 structure.

POSCAR file:
```
MnTl2V2Se6
1.0
-5.8310 -1.3576 2.1276
1.7002 -2.1114 -5.7464
3.9324 -5.5043 4.2881
V Se Mn Tl
2 6 1 2
Cartesian
1.0453 -4.6012 -0.8620
-1.2437 -4.3721 1.5313
0.0874 -2.6259 0.3350
-0.2858 -6.3474 0.3343
-3.2219 -4.3787 -0.1147
3.0235 -4.5946 0.7841
-0.6889 -4.6322 -2.7631
0.4906 -4.3411 3.4324
1.9662 -2.7522 2.1441
0.3368 -1.9749 -4.3209
-4.4675 -1.4940 0.7021
```

Properties
space group = C2/m
formation energy (no corrections) = -0.554 eV/atom
density of states at the Fermi level = 0.423 states/eV/atom



[2]
Density functional theory data (PBE) for a geometry-optimized LaRe2Hg structure.

POSCAR file:
```
LaRe2Hg
1.0
4.2022 0.0000 0.0000
0.0000 4.2022 0.0000
2.1011 2.1011 10.5952
La Re Hg
2 4 2
Cartesian
2.1011 2.1011 0.0000
2.1011 4.2022 5.2976
3.1516 3.4939 7.9464
2.8093 1.0505 2.6488
5.2527 4.9104 7.9464
1.3929 3.1516 2.6488
0.0000 0.0000 0.0000
4.2022 2.1011 5.2976
```

Properties
energy above the most stable polymorph in this dataset = 786 meV/atom
space group = I-42d
energy relative to the elements = 3.8 eV/f.u.
density of states at the Fermi level = 1.001 states/eV/atom



[3]
Density functional theory data (PBE) for a geometry-optimized Ti2RuRh structure.

POSCAR file:
```
Ti2RuRh
1.0
4.3761 0.0000 0.0000
2.1880 3.7898 0.0000
2.1880 1.2633 3.5731
Ti Ru Rh
2 1 1
Cartesian
4.3761 2.5265 1.7865
0.0000 0.0000 0.0000
6.5641 3.7898 2.6798
2.1880 1.2633 0.8933
```

Properties
space group = Fm-3m
energy relative to the elements = -3.0 eV/f.u.
density of states at the Fermi level = 1.018 states/eV/atom



[4]
Density functional theory data (PBE) for a geometry-optimized Pt2PbO structure.

POSCAR file:
```
Pt2PbO
1.0
-3.2001 1.2841 -3.8257
0.7959 -4.5858 -2.2051
-5.9583 -4.0088 0.1717
Pb Pt O
2 4 2
Cartesian
0.0000 0.0000 0.0000
-5.1803 -2.1877 -3.3347
-1.9482 -3.4847 -2.4781
-5.2320 -5.0415 -2.5159
-6.7107 -5.0988 -4.7650
-2.8342 -0.9959 -1.9591
-3.1823 -5.1227 -2.5244
-1.2021 -1.6508 -3.0154
```

Properties
energy above the most stable polymorph in this dataset = 0 meV/atom
space group = I-42d
formation energy (no corrections) = -0.043 eV/atom
density of states at the Fermi level = 0.275 states/eV/atom



[5]
Density functional theory data (PBE) for a geometry-optimized KRhSe2Br structure.

POSCAR file:
```
KRhSe2Br
1.0
-1.4203 2.5899 -3.9032
-2.4792 -3.8762 -1.6699
-4.5505 1.7087 2.7896
K Br Rh Se
1 1 1 2
Cartesian
-4.2250 0.2112 -1.3917
-2.2753 0.8544 1.3948
0.0000 0.0000 0.0000
-0.7101 1.2949 -1.9516
-1.2396 -1.9381 -0.8349
```

Properties
energy above the most stable polymorph in this dataset = 0 meV/atom
space group = P4/mmm
formation energy (no corrections) = -0.403 eV/atom
density of states at the Fermi level = 1.160 states/eV/atom



[6]
Density functional theory data (PBE) for a geometry-optimized NpHAu structure.

POSCAR file:
```
NpHAu
1.0
-2.6865 -0.2110 1.2097
2.3599 -1.0158 1.4574
0.7056 5.1847 2.4713
Au H Np
1 1 1
Cartesian
0.6671 4.9014 2.3362
1.1337 2.6022 2.9715
-0.7161 1.6391 2.3019
```

Properties
energy above the most stable polymorph in this dataset = 127 meV/atom
space group = P3m1
density of states at the Fermi level = 0.743 states/eV/atom